No. 1
In8ICl6, relaxed, DFT PBE-GGA; crystal system = trigonal; electronic total energy = -43.86 eV for the cell shown; total magnetic moment = 0.0000 μB per atom; space-group type = R-3
1.0
7.893 0.720 0.743
0.473 7.912 0.743
0.473 0.488 7.932
In I Cl
8 1 6
direct
0.746 0.746 0.746 In
0.254 0.254 0.254 In
0.612 0.864 0.154 In
0.864 0.154 0.612 In
0.154 0.612 0.864 In
0.388 0.136 0.846 In
0.136 0.846 0.388 In
0.846 0.388 0.136 In
0.000 0.000 0.000 I
0.677 0.402 0.820 Cl
0.402 0.820 0.677 Cl
0.820 0.677 0.402 Cl
0.323 0.598 0.180 Cl
0.598 0.180 0.323 Cl
0.180 0.323 0.598 Cl


No. 2
FeRe2TeIr, relaxed, DFT PBE-GGA; crystal system = tetragonal; electronic total energy = -37.70 eV for the cell shown; total magnetic moment = 0.1213 μB per atom; space-group type = P4/mmm
1.0
4.442 0.000 0.000
0.000 4.633 0.000
0.000 0.000 4.442
Re Ir Te Fe
2 1 1 1
direct
0.000 0.000 0.500 Re
0.500 0.000 0.000 Re
0.000 0.500 0.000 Ir
0.500 0.500 0.500 Te
0.000 0.000 0.000 Fe


No. 3
LaNd2Sm6Mg, relaxed, DFT PBE-GGA; formation energy = 0.11 eV/atom; crystal system = monoclinic; electronic total energy = -86.57 eV for the cell shown; total magnetic moment = 0.0000 μB per atom; space-group type = C2/c
1.0
-1.654 7.318 5.327
-3.196 -5.531 6.444
8.888 1.827 0.089
La Nd Sm Mg
2 4 12 2
direct
0.250 0.975 0.025 La
0.750 0.025 0.975 La
0.442 0.786 0.667 Nd
0.058 0.333 0.214 Nd
0.558 0.214 0.333 Nd
0.942 0.667 0.786 Nd
0.058 0.148 0.784 Sm
0.442 0.216 0.852 Sm
0.942 0.852 0.216 Sm
0.558 0.784 0.148 Sm
0.287 0.006 0.427 Sm
0.213 0.573 0.994 Sm
0.713 0.994 0.573 Sm
0.787 0.427 0.006 Sm
0.095 0.730 0.498 Sm
0.405 0.502 0.270 Sm
0.905 0.270 0.502 Sm
0.595 0.498 0.730 Sm
0.250 0.422 0.578 Mg
0.750 0.578 0.422 Mg


No. 4
ZrNi2Te, relaxed, DFT PBE-GGA; crystal system = orthorhombic; electronic total energy = -24.05 eV for the cell shown; total magnetic moment = 0.0000 μB per atom; space-group type = Imm2
1.0
5.528 0.348 -0.188
2.704 4.834 0.188
-3.999 -2.777 2.648
Ni Te Zr
2 1 1
direct
0.970 0.970 0.000 Ni
0.298 0.798 0.500 Ni
0.494 0.494 0.000 Te
0.738 0.238 0.500 Zr


- What is the electronic total energy in the third record?
  -86.57 eV for the cell shown